Below is an optimized crystal structure of Ba2ScSiSb, with properties calculated at the PBE level.

abc: 6.297 6.297 5.017
angles: 90.00 90.00 90.00
Space group P4/mmm (No. 123)
Inequivalent atoms, fractional coordinates:
Ba  0.000  0.500  0.000 x2
Sc  0.000  0.000  0.000 x1
Si  0.000  0.000  0.500 x1
Sb  0.500  0.500  0.500 x1

Calculated values
**Electronic total energy**: -0.268 Ry/atom
**Total moment**: 1.643 Bohr magnetons per cell


Below is an optimized crystal structure of BaScTcSb2, with properties calculated at the PBE level.

abc: 6.035 6.035 5.136
angles: 90.00 90.00 90.00
Space group P4/mmm (No. 123)
Inequivalent atoms, fractional coordinates:
Ba  0.000  0.000  0.000 x1
Sc  0.500  0.500  0.500 x1
Tc  0.000  0.000  0.500 x1
Sb  0.000  0.500  0.000 x2

Calculated values
**Electronic total energy**: -0.277 Ry/atom
**Total moment**: 1.743 Bohr magnetons per cell


Below is an optimized crystal structure of BaScSb2Te, with properties calculated at the PBE level.

abc: 6.021 6.021 6.214
angles: 90.00 90.00 90.00
Space group P4/mmm (No. 123)
Inequivalent atoms, fractional coordinates:
Ba  0.000  0.000  0.000 x1
Sc  0.500  0.500  0.500 x1
Sb  0.000  0.500  0.000 x2
Te  0.000  0.000  0.500 x1

Calculated values
**Electronic total energy**: -0.233 Ry/atom
**Total moment**: 0.002 Bohr magnetons per cell


Below is an optimized crystal structure of BaScSb2Te, with properties calculated at the PBE level.

abc: 5.545 5.545 5.696
angles: 90.00 90.00 90.00
Space group P4/mmm (No. 123)
Inequivalent atoms, fractional coordinates:
Ba  0.000  0.000  0.000 x1
Sc  0.500  0.500  0.500 x1
Sb  0.000  0.500  0.500 x2
Te  0.500  0.500  0.000 x1

Calculated values
**Electronic total energy**: -0.340 Ry/atom
**Total moment**: 0.000 Bohr magnetons per cell


Below is an optimized crystal structure of BaScSbTe2, with properties calculated at the PBE level.

abc: 6.256 6.256 6.070
angles: 90.00 90.00 90.00
Space group P4/mmm (No. 123)
Inequivalent atoms, fractional coordinates:
Ba  0.000  0.000  0.000 x1
Sc  0.500  0.500  0.500 x1
Sb  0.000  0.000  0.500 x1
Te  0.000  0.500  0.000 x2

Calculated values
**Electronic total energy**: -0.234 Ry/atom
**Total moment**: 0.544 Bohr magnetons per cell


Below is an optimized crystal structure of BaSc2SbTe, with properties calculated at the PBE level.

abc: 5.386 5.386 6.410
angles: 90.00 90.00 90.00
Space group P4/mmm (No. 123)
Inequivalent atoms, fractional coordinates:
Ba  0.000  0.000  0.000 x1
Sc  0.000  0.500  0.500 x2
Sb  0.500  0.500  0.000 x1
Te  0.500  0.500  0.500 x1

Calculated values
**Electronic total energy**: -0.329 Ry/atom
**Total moment**: 1.928 Bohr magnetons per cell


Below is an optimized crystal structure of BaScSbTe2, with properties calculated at the PBE level.

abc: 5.670 5.670 5.527
angles: 90.00 90.00 90.00
Space group P4/mmm (No. 123)
Inequivalent atoms, fractional coordinates:
Ba  0.000  0.000  0.000 x1
Sc  0.500  0.500  0.500 x1
Sb  0.500  0.500  0.000 x1
Te  0.000  0.500  0.500 x2

Calculated values
**Electronic total energy**: -0.342 Ry/atom
**Total moment**: 0.000 Bohr magnetons per cell


Below is an optimized crystal structure of BaSc2TlSb, with properties calculated at the PBE level.

abc: 5.464 5.464 6.389
angles: 90.00 90.00 90.00
Space group P4/mmm (No. 123)
Inequivalent atoms, fractional coordinates:
Ba  0.000  0.000  0.000 x1
Sc  0.000  0.500  0.500 x2
Tl  0.500  0.500  0.000 x1
Sb  0.500  0.500  0.500 x1

Calculated values
**Electronic total energy**: -0.304 Ry/atom
**Total moment**: 0.669 Bohr magnetons per cell


Below is an optimized crystal structure of BaSbSe3, with properties calculated at the PBE level.

abc: 5.974 6.199 11.057
angles: 90.00 105.34 90.00
Space group P2_1 (No. 4)
Inequivalent atoms, fractional coordinates:
Ba  0.171  0.000  0.339 x2
Sb  0.409  0.068  0.823 x2
Se  0.051  0.999  0.629 x2
Se  0.409  0.481  0.824 x2
Se  0.423  0.499  0.371 x2

Calculated values
**Electronic total energy**: -0.307 Ry/atom
**Total moment**: 0.000 Bohr magnetons per cell


Below is an optimized crystal structure of BaSb2Se, with properties calculated at the PBE level.

abc: 4.517 6.472 4.668
angles: 90.00 90.02 90.00
Space group P2/m (No. 10)
Inequivalent atoms, fractional coordinates:
Ba  0.000  0.000  0.000 x1
Sb  0.249  0.500  0.307 x2
Se  0.500  0.000  0.500 x1

Calculated values
**Electronic total energy**: -0.302 Ry/atom
**Total moment**: 0.000 Bohr magnetons per cell


Below is an optimized crystal structure of BaSb2Se, with properties calculated at the PBE level.

abc: 7.889 7.889 7.889
angles: 90.00 90.00 90.00
Space group F-43m (No. 216)
Inequivalent atoms, fractional coordinates:
Ba  0.000  0.000  0.000 x4
Sb  0.000  0.000  0.500 x4
Sb  0.250  0.250  0.750 x4
Se  0.250  0.250  0.250 x4

Calculated values
**Electronic total energy**: -0.287 Ry/atom
**Total moment**: 0.000 Bohr magnetons per cell


Below is an optimized crystal structure of BaSbSe3, with properties calculated at the PBE level.

abc: 5.960 5.960 5.960
angles: 90.00 90.00 90.00
Space group Pm-3m (No. 221)
Inequivalent atoms, fractional coordinates:
Ba  0.000  0.000  0.000 x1
Sb  0.500  0.500  0.500 x1
Se  0.000  0.000  0.500 x3

Calculated values
**Electronic total energy**: -0.206 Ry/atom
**Total moment**: 2.583 Bohr magnetons per cell


Asked for volume across the records above, the calculation gives 39.8; 37.4; 45.1; 35.0; 47.5; 37.2; 35.5; 38.2; 39.5; 34.1; 30.7; 42.3 A^3/atom in order.
Asked for D(E_F) across the records above, the calculation gives 7.69; 7.24; 6.14; 3.23; 7.40; 6.94; 4.57; 7.02; 1.15; 2.10; 1.39; 11.25 states/eV/f.u. in order.